An optimized crystal structure of CaDy8Tm6, computed with PBE-GGA.

Cell: 8.0951 8.0951 8.0951 Å, 72.17 72.17 72.17°
Fractional coordinates of all 15 atoms:
Ca  0.0000  0.0000  0.0000
Dy  0.1350  0.6239  0.9495
Dy  0.0505  0.8650  0.3761
Dy  0.3761  0.0505  0.8650
Dy  0.7585  0.7585  0.7585
Dy  0.2415  0.2415  0.2415
Dy  0.6239  0.9495  0.1350
Dy  0.9495  0.1350  0.6239
Dy  0.8650  0.3761  0.0505
Tm  0.1774  0.4394  0.6168
Tm  0.3832  0.8226  0.5606
Tm  0.5606  0.3832  0.8226
Tm  0.4394  0.6168  0.1774
Tm  0.6168  0.1774  0.4394
Tm  0.8226  0.5606  0.3832

## Properties
E_form = 0.208 eV per atom
ρ = 8.4 Mg/m³

=====

An optimized crystal structure of TcSb2Pb, computed with PBE-GGA.

Cell: 3.7148 5.0870 5.0870 Å, 90.00 90.00 90.00°
Fractional coordinates of all 4 atoms:
Pb  0.5000  0.0000  0.5000
Sb  0.0000  0.0000  0.0000
Sb  0.0000  0.5000  0.5000
Tc  0.5000  0.5000  0.0000

## Properties
ρ = 9.5 Mg/m³
formation energy from raw total energies = 2.7 eV/f.u.

=====

An optimized crystal structure of Cs7AgI5, computed with PBE-GGA.

Cell: 5.4070 9.6465 33.0500 Å, 90.14 90.00 106.28°
Fractional coordinates of all 26 atoms:
Cs  0.4512  0.9024  0.2498
Cs  0.5496  0.0991  0.7500
Cs  0.6376  0.2751  0.0363
Cs  0.3635  0.7271  0.9637
Cs  0.3632  0.7264  0.5362
Cs  0.6364  0.2728  0.4638
Cs  0.1910  0.3821  0.1795
Cs  0.8103  0.6207  0.8207
Cs  0.8108  0.6216  0.6789
Cs  0.1893  0.3786  0.3211
Cs  0.9137  0.8273  0.1082
Cs  0.0878  0.1756  0.8917
Cs  0.0881  0.1762  0.6085
Cs  0.9116  0.8231  0.3914
Ag  0.7951  0.5902  0.2512
Ag  0.2058  0.4116  0.7489
I  0.0006  0.0012  0.9999
I  0.7248  0.4496  0.9276
I  0.2763  0.5526  0.0724
I  0.5466  0.0933  0.3559
I  0.4533  0.9065  0.6440
I  0.9998  0.9995  0.5000
I  0.2752  0.5503  0.4279
I  0.7246  0.4491  0.5722
I  0.4528  0.9056  0.8558
I  0.5485  0.0970  0.1443

## Properties
ρ = 3.4 Mg/m³
formation energy from raw total energies = -15.0 eV/f.u.

=====

An optimized crystal structure of Pd8Pt3Au, computed with PBE-GGA.

Cell: 4.8558 6.8710 6.8859 Å, 109.39 89.76 61.92°
Fractional coordinates of all 12 atoms:
Pd  0.3315  0.8741  0.9594
Pd  0.3291  0.1256  0.7083
Pd  0.6642  0.3758  0.7909
Pd  0.3355  0.3692  0.4586
Pd  0.6706  0.6194  0.5411
Pd  0.3358  0.6217  0.2065
Pd  0.6639  0.1232  0.0430
Pd  0.6682  0.8708  0.2901
Pt  0.9990  0.6192  0.8789
Pt  0.0007  0.1258  0.3705
Pt  0.9999  0.3725  0.1247
Au  0.9999  0.8725  0.6247

## Properties
E_form = -0.016 eV per atom
ρ = 14.5 Mg/m³
energy above the lowest structure with this stoichiometry = 0.0 meV/atom

=====

An optimized crystal structure of CaPaVN3, computed with PBE-GGA.

Cell: 3.5225 6.9933 8.3383 Å, 99.46 90.00 90.00°
Fractional coordinates of all 12 atoms:
Ca  0.7500  0.8394  0.8473
Ca  0.2500  0.1606  0.1527
Pa  0.2500  0.6558  0.1598
Pa  0.7500  0.3442  0.8402
V  0.2500  0.0567  0.6057
V  0.7500  0.9433  0.3943
N  0.2500  0.8441  0.4238
N  0.7500  0.8755  0.1459
N  0.7500  0.4260  0.1170
N  0.7500  0.1559  0.5762
N  0.2500  0.5740  0.8830
N  0.2500  0.1245  0.8541

## Properties
ρ = 6.0 Mg/m³
formation energy from raw total energies = -7.1 eV/f.u.

=====

An optimized crystal structure of Li5BeCl8, computed with PBE-GGA.

Cell: 7.2867 7.2867 7.2867 Å, 60.00 60.00 60.00°
Fractional coordinates of all 14 atoms:
Li  0.0000  0.0000  0.0000
Li  0.6323  0.6324  0.1030
Li  0.6323  0.6324  0.6324
Li  0.1030  0.6324  0.6324
Li  0.6323  0.1030  0.6324
Be  0.2500  0.2500  0.2500
Cl  0.3662  0.9014  0.3662
Cl  0.9014  0.3662  0.3662
Cl  0.3662  0.3662  0.3662
Cl  0.3662  0.3662  0.9014
Cl  0.8694  0.8694  0.3918
Cl  0.3918  0.8694  0.8694
Cl  0.8694  0.8694  0.8694
Cl  0.8694  0.3918  0.8694

## Properties
ρ = 2.0 Mg/m³
formation energy from raw total energies = -20.9 eV/f.u.

=====

An optimized crystal structure of ZrClF3, computed with PBE-GGA.

Cell: 5.1949 4.8968 6.2640 Å, 90.00 90.00 90.00°
Fractional coordinates of all 10 atoms:
Zr  0.1942  0.7737  0.7008
Zr  0.6942  0.5790  0.2008
Cl  0.3869  0.2714  0.7008
Cl  0.8869  0.0813  0.2007
F  0.3926  0.3530  0.2008
F  0.4522  0.7742  0.9594
F  0.9522  0.5785  0.4594
F  0.8926  0.9998  0.7007
F  0.9522  0.5785  0.9421
F  0.4522  0.7743  0.4422

## Properties
ρ = 3.8 Mg/m³
formation energy from raw total energies = -15.4 eV/f.u.
energy above the lowest structure with this stoichiometry = 0.0 meV/atom

=====

An optimized crystal structure of Tb5ThPb4, computed with PBE-GGA.

Cell: 4.7557 8.1537 10.4367 Å, 125.76 103.17 90.00°
Fractional coordinates of all 10 atoms:
Tb  0.6913  0.5537  0.3826
Tb  0.8492  0.1428  0.6984
Tb  0.1508  0.8572  0.3016
Tb  0.5000  0.5000  0.0000
Tb  0.3087  0.4463  0.6174
Th  0.5000  0.0000  0.0000
Pb  0.3083  0.8490  0.6166
Pb  0.9461  0.6600  0.8921
Pb  0.6917  0.1510  0.3834
Pb  0.0539  0.3400  0.1079

## Properties
E_form = -0.381 eV per atom
ρ = 9.8 Mg/m³

=====

An optimized crystal structure of MgPaTi2O8, computed with PBE-GGA.

Cell: 5.1022 5.1022 6.4267 Å, 113.39 113.39 90.00°
Fractional coordinates of all 12 atoms:
Mg  0.7500  0.2500  0.5000
Pa  0.0000  0.0000  0.0000
Ti  0.5000  0.5000  0.0000
Ti  0.2500  0.7500  0.5000
O  0.7714  0.8444  0.1772
O  0.4059  0.3329  0.1772
O  0.5948  0.6552  0.6786
O  0.0838  0.0235  0.6786
O  0.9765  0.4052  0.3214
O  0.3448  0.9162  0.3214
O  0.1556  0.5941  0.8228
O  0.6671  0.2286  0.8228

## Properties
ρ = 5.7 Mg/m³
formation energy from raw total energies = -34.6 eV/f.u.

=====

An optimized crystal structure of BaAl2Si2, computed with PBE-GGA.

Cell: 8.1216 8.1216 3.3802 Å, 90.00 90.00 90.00°
Fractional coordinates of all 10 atoms:
Si  0.3800  0.8800  0.0000
Si  0.8800  0.6200  0.0000
Si  0.6200  0.1200  0.0000
Si  0.1200  0.3800  0.0000
Ba  0.0000  0.0000  0.0000
Ba  0.5000  0.5000  0.0000
Al  0.1355  0.6355  0.5000
Al  0.6355  0.8645  0.5000
Al  0.8645  0.3645  0.5000
Al  0.3645  0.1355  0.5000

## Properties
ρ = 3.7 Mg/m³
formation energy from raw total energies = 0.5 eV/f.u.

=====

An optimized crystal structure of Pm2Sm3Er7, computed with PBE-GGA.

Cell: 3.5692 5.7942 19.3159 Å, 104.20 90.00 90.00°
Fractional coordinates of all 12 atoms:
Pm  0.5000  0.5833  0.2921
Pm  0.5000  0.4167  0.7079
Sm  0.5000  0.5000  0.0000
Sm  0.0000  0.1465  0.3688
Sm  0.0000  0.8535  0.6312
Er  0.5000  0.7193  0.4618
Er  0.5000  0.2807  0.5382
Er  0.0000  0.4539  0.1419
Er  0.0000  0.0000  0.0000
Er  0.0000  0.5461  0.8581
Er  0.5000  0.0174  0.8273
Er  0.5000  0.9826  0.1727

## Properties
E_form = 0.088 eV per atom
ρ = 8.2 Mg/m³
energy above the lowest structure with this stoichiometry = 9.6 meV/atom

=====

An optimized crystal structure of CsGe2Pt2, computed with PBE-GGA.

Cell: 4.3425 4.3425 7.7963 Å, 103.56 103.56 99.00°
Fractional coordinates of all 5 atoms:
Cs  0.0000  0.0000  0.0000
Ge  0.6619  0.6619  0.3247
Ge  0.3381  0.3381  0.6753
Pt  0.2497  0.7503  0.5000
Pt  0.7503  0.2497  0.5000

## Properties
E_form = -0.483 eV per atom
ρ = 8.2 Mg/m³
energy above the lowest structure with this stoichiometry = 0.0 meV/atom

=====

An optimized crystal structure of PrTm2Al, computed with PBE-GGA.

Cell: 3.5195 3.5195 9.0201 Å, 90.00 90.00 90.00°
Fractional coordinates of all 4 atoms:
Pr  0.5000  0.5000  0.5000
Tm  0.0000  0.0000  0.7933
Tm  0.0000  0.0000  0.2067
Al  0.5000  0.5000  0.0000

## Properties
E_form = -0.200 eV per atom
ρ = 7.5 Mg/m³
energy above the lowest structure with this stoichiometry = 0.0 meV/atom

=====

An optimized crystal structure of K2SrTiSb, computed with PBE-GGA.

Cell: 6.4878 5.3696 6.4878 Å, 90.00 90.00 90.00°
Fractional coordinates of all 5 atoms:
Sb  0.0000  0.5000  0.0000
K  0.0000  0.0000  0.5000
K  0.5000  0.0000  0.0000
Ti  0.0000  0.0000  0.0000
Sr  0.5000  0.5000  0.5000

## Properties
ρ = 2.5 Mg/m³
formation energy from raw total energies = 1.8 eV/f.u.

=====

An optimized crystal structure of Hf2Ge2Rh, computed with PBE-GGA.

Cell: 3.8432 5.2983 5.2983 Å, 63.52 68.73 68.73°
Fractional coordinates of all 5 atoms:
Hf  0.7915  0.7085  0.7085
Hf  0.2085  0.2915  0.2915
Ge  0.5000  0.7244  0.2756
Ge  0.5000  0.2756  0.7244
Rh  0.0000  0.0000  0.0000

## Properties
E_form = -0.717 eV per atom
ρ = 11.5 Mg/m³

=====

An optimized crystal structure of Dy2VGa2Ru5, computed with PBE-GGA.

Cell: 3.2797 10.0472 10.0472 Å, 90.00 90.00 90.00°
Fractional coordinates of all 20 atoms:
Dy  0.0000  0.6701  0.1701
Dy  0.0000  0.3299  0.8299
Dy  0.0000  0.1701  0.3299
Dy  0.0000  0.8299  0.6701
V  0.0000  0.0000  0.0000
V  0.0000  0.5000  0.5000
Ga  0.0000  0.1303  0.6303
Ga  0.0000  0.8697  0.3697
Ga  0.0000  0.6303  0.8697
Ga  0.0000  0.3697  0.1303
Ru  0.5000  0.1915  0.0631
Ru  0.5000  0.8085  0.9369
Ru  0.5000  0.0631  0.8085
Ru  0.5000  0.6915  0.4369
Ru  0.5000  0.9369  0.1915
Ru  0.5000  0.3085  0.5631
Ru  0.5000  0.5631  0.6915
Ru  0.5000  0.4369  0.3085
Ru  0.5000  0.5000  0.0000
Ru  0.5000  0.0000  0.5000

## Properties
E_form = -0.327 eV per atom
ρ = 10.2 Mg/m³

=====

An optimized crystal structure of ScIr3, computed with PBE-GGA.

Cell: 3.9317 3.9317 8.4309 Å, 76.52 76.52 90.00°
Fractional coordinates of all 8 atoms:
Ir  0.0000  0.5000  0.0000
Ir  0.5000  0.0000  0.0000
Ir  0.7500  0.2500  0.5000
Ir  0.2500  0.7500  0.5000
Ir  0.8729  0.8729  0.2541
Ir  0.1271  0.1271  0.7459
Sc  0.6196  0.6196  0.7608
Sc  0.3804  0.3804  0.2392

## Properties
E_form = -0.581 eV per atom
ρ = 16.8 Mg/m³

=====

An optimized crystal structure of TlIn5Hg5, computed with PBE-GGA.

Cell: 6.1706 6.9738 7.9608 Å, 109.04 84.18 107.05°
Fractional coordinates of all 11 atoms:
Tl  0.0000  0.0000  0.0000
In  0.5949  0.1682  0.3934
In  0.8013  0.3366  0.8432
In  0.0000  0.0000  0.5000
In  0.1987  0.6634  0.1568
In  0.4051  0.8318  0.6066
Hg  0.6764  0.6184  0.2068
Hg  0.8185  0.6261  0.6295
Hg  0.5000  0.0000  0.0000
Hg  0.1815  0.3739  0.3705
Hg  0.3236  0.3816  0.7932

## Properties
E_form = 0.019 eV per atom
ρ = 9.6 Mg/m³

=====

An optimized crystal structure of SrLi2Pd, computed with PBE-GGA.

Cell: 3.6693 3.6693 6.4370 Å, 90.00 90.00 90.00°
Fractional coordinates of all 4 atoms:
Sr  0.5000  0.5000  0.5000
Pd  0.5000  0.5000  0.0000
Li  0.0000  0.0000  0.8242
Li  0.0000  0.0000  0.1758

## Properties
E_form = -0.145 eV per atom
ρ = 4.0 Mg/m³
energy above the lowest structure with this stoichiometry = 184.3 meV/atom

=====

An optimized crystal structure of Sr2LiSm, computed with PBE-GGA.

Cell: 4.1812 4.1812 9.0650 Å, 90.00 90.00 90.00°
Fractional coordinates of all 4 atoms:
Sr  0.0000  0.0000  0.7707
Sr  0.0000  0.0000  0.2293
Sm  0.5000  0.5000  0.5000
Li  0.5000  0.5000  0.0000

## Properties
E_form = 0.144 eV per atom
ρ = 3.5 Mg/m³
energy above the lowest structure with this stoichiometry = 0.0 meV/atom